(1)
The following is a DFT calculation (GGA-PBE) of a geometry-optimized YSiW2 structure.

Calculated values
space-group type = No. 65

a b c (Å): 2.911 2.911 8.734
angles (deg): 90.00 90.00 106.88
Fractional positions:
W 0.000 0.000 0.542
Si 0.500 0.500 0.750
W 0.000 0.000 0.958
Y 0.500 0.500 0.250


(2)
The following is a DFT calculation (GGA-PBE) of a geometry-optimized YSiW2 structure.

Calculated values
space-group type = No. 99

a b c (Å): 3.261 3.261 6.934
angles (deg): 90.00 90.00 90.00
Fractional positions:
W 0.000 0.000 0.993
Si 0.500 0.500 0.803
Y 0.000 0.000 0.508
W 0.500 0.500 0.196


(3)
The following is a DFT calculation (GGA-PBE) of a geometry-optimized YSiW structure.

Calculated values
space-group type = No. 107

a b c (Å): 5.703 5.703 5.703
angles (deg): 145.80 145.80 49.14
Fractional positions:
W 0.369 0.369 0.000
Si 0.963 0.963 0.000
Y 0.668 0.668 0.000


(4)
The following is a DFT calculation (GGA-PBE) of a geometry-optimized YSiW structure.

Calculated values
space-group type = No. 156

a b c (Å): 3.464 3.464 5.905
angles (deg): 90.00 90.00 120.00
Fractional positions:
Si 0.000 0.000 0.037
Y 0.333 0.667 0.682
W 0.667 0.333 0.282


(5)
The following is a DFT calculation (GGA-PBE) of a geometry-optimized Y2Si2W structure.

Calculated values
distance to the lowest polymorph of the same formula = 0 meV/atom
space-group type = No. 127

a b c (Å): 6.889 6.889 4.195
angles (deg): 90.00 90.00 90.00
Fractional positions:
Y 0.322 0.178 0.500
Y 0.178 0.678 0.500
Y 0.678 0.822 0.500
Si 0.128 0.372 0.000
Si 0.628 0.128 0.000
Y 0.822 0.322 0.500
Si 0.872 0.628 0.000
Si 0.372 0.872 0.000
W 0.000 0.000 0.000
W 0.500 0.500 0.000


(6)
The following is a DFT calculation (GGA-PBE) of a geometry-optimized Y2Si4W3 structure.

Calculated values
space-group type = No. 14

a b c (Å): 6.777 6.839 6.921
angles (deg): 90.00 90.00 108.92
Fractional positions:
Y 0.561 0.190 0.330
W 0.000 0.500 0.500
Si 0.873 0.504 0.132
Y 0.939 0.810 0.830
Si 0.866 0.090 0.546
Y 0.439 0.810 0.670
W 0.500 0.500 0.000
W 0.248 0.251 0.659
Si 0.366 0.090 0.954
Y 0.061 0.190 0.170
Si 0.134 0.910 0.454
W 0.748 0.251 0.841
Si 0.373 0.504 0.368
Si 0.127 0.496 0.868
Si 0.627 0.496 0.632
Si 0.634 0.910 0.046
W 0.752 0.749 0.341
W 0.252 0.749 0.159


(7)
The following is a DFT calculation (GGA-PBE) of a geometry-optimized YSiW structure.

Calculated values
space-group type = No. 129

a b c (Å): 3.902 3.902 7.680
angles (deg): 90.00 90.00 90.00
Site moments in Bohr magnetons follow the coordinates.
Fractional positions:
W 0.000 0.000 0.500  0.01
Y 0.000 0.500 0.855  0.13
Si 0.500 0.000 0.733  -0.01
Si 0.000 0.500 0.267  -0.01
W 0.500 0.500 0.500  0.01
Y 0.500 0.000 0.145  0.13


(8)
The following is a DFT calculation (GGA-PBE) of a geometry-optimized ZnSiW2 structure.

Calculated values
distance to the lowest polymorph of the same formula = 122 meV/atom
space-group type = No. 65

a b c (Å): 2.733 2.733 8.403
angles (deg): 90.00 90.00 107.32
Fractional positions:
Zn 0.500 0.500 0.250
W 0.000 0.000 0.986
W 0.000 0.000 0.514
Si 0.500 0.500 0.750


no.,E_form (uncorrected) (meV per atom)
1,340
2,5
3,-63
4,194
5,-481
6,-542
7,-470
8,237